Here is a geometry-optimized LiTi3Tl structure from Alexandria via LeMat-Bulk. Energies are from PBEsol.

- Formation enthalpy at 0 K: 686.0 meV per atom

Cell and atoms, written as CIF:
```
data_LiTi3Tl
_space_group_name_H-M_alt 'P m -3 m'
_space_group_IT_number 221
_space_group_name_Hall '-P 4 2 3'
_cell_length_a 4.421
_cell_length_b 4.421
_cell_length_c 4.421
_cell_angle_alpha 90.00
_cell_angle_beta 90.00
_cell_angle_gamma 90.00
loop_
_atom_site_label
_atom_site_fract_x
_atom_site_fract_y
_atom_site_fract_z
_atom_site_occupancy
Li1 0.000 0.000 0.000 1
Ti1 0.000 0.000 0.500 1
Tl1 0.500 0.500 0.500 1
```